(1)
VASP calculation (PBE) on HfNbZnMo after structural relaxation.

extended XYZ file:
```
4
Lattice="4.630 0.000 0.000 2.315 4.010 0.000 2.315 1.337 3.780" Properties=species:S:1:pos:R:3 pbc="T T T"
Hf 2.315 1.337 0.945
Mo 4.630 2.673 1.890
Zn 0.000 0.000 0.000
Nb 6.945 4.010 2.835
```

- Total energy: -0.59426 Ry per atom
- Energy above the most stable polymorph in this dataset: 96 meV per atom
- DFT formation energy: -0.05 eV/atom

---

(2)
VASP calculation (PBE) on HoMgInAu after structural relaxation.

extended XYZ file:
```
4
Lattice="-3.323 1.246 3.530 0.772 -1.358 4.755 1.169 3.452 3.431" Properties=species:S:1:pos:R:3 pbc="T T T"
Ho -1.036 2.505 8.787
In -0.691 1.670 5.858
Au 0.000 0.000 0.000
Mg -0.345 0.835 2.929
```

- Total energy: -0.26436 Ry per atom
- DFT formation energy: -0.55 eV/atom

---

(3)
VASP calculation (PBE) on EuTlZnAu after structural relaxation.

extended XYZ file:
```
4
Lattice="-4.183 -0.227 -2.930 -1.851 -4.534 -1.464 -4.400 -1.717 1.955" Properties=species:S:1:pos:R:3 pbc="T T T"
Au -5.217 -3.239 -1.219
Eu -7.825 -4.858 -1.829
Zn 0.000 0.000 0.000
Tl -2.608 -1.619 -0.610
```

- Total energy: -0.34190 Ry per atom
- DFT formation energy: -0.35 eV/atom

---

(4)
VASP calculation (PBE) on La2Sb after structural relaxation.

extended XYZ file:
```
6
Lattice="2.171 -8.199 0.000 2.171 8.199 0.000 0.000 0.000 6.462" Properties=species:S:1:pos:R:3 pbc="T T T"
Sb 2.171 3.067 4.846
Sb 2.171 -3.067 1.615
La 2.171 -7.441 4.846
La 2.171 2.815 1.615
La 2.171 -2.815 4.846
La 2.171 7.441 1.615
```

- Total energy: -0.38833 Ry per atom
- Uncorrected formation energy: -1.87 eV/f.u.

---

(5)
VASP calculation (PBE) on Cd2OsSe after structural relaxation.

extended XYZ file:
```
4
Lattice="-0.549 -2.885 -0.522 0.454 0.995 2.776 -10.610 1.825 1.080" Properties=species:S:1:pos:R:3 pbc="T T T"
Cd -0.144 0.025 0.015
Cd -3.060 -0.427 1.433
Os -5.424 0.933 0.552
Se -7.383 0.317 1.873
```

- Total energy: -0.27343 Ry per atom
- Uncorrected formation energy: 1.66 eV/f.u.

---

(6)
VASP calculation (PBE) on MoAs2 after structural relaxation.

extended XYZ file:
```
6
Lattice="2.345 -4.061 0.000 2.345 4.061 0.000 0.000 0.000 5.430" Properties=species:S:1:pos:R:3 pbc="T T T"
As 0.000 0.000 0.000
As 2.345 -1.354 4.072
As 2.345 1.354 1.357
As 0.000 0.000 2.715
Mo 2.345 -1.354 1.357
Mo 2.345 1.354 4.072
```

- Total energy: -0.46287 Ry per atom
- DFT formation energy: 0.41 eV/atom

---

(7)
VASP calculation (PBE) on Hf2GaCo3 after structural relaxation.

extended XYZ file:
```
6
Lattice="4.237 0.000 0.000 0.000 4.872 0.000 -2.119 -2.436 4.462" Properties=species:S:1:pos:R:3 pbc="T T T"
Co 2.119 2.436 1.172
Co 0.000 0.000 3.290
Co 0.000 0.000 0.000
Hf 2.119 0.000 1.687
Hf 0.000 2.436 2.775
Ga 0.000 2.436 0.000
```

- Total energy: -0.54936 Ry per atom
- Energy above the most stable polymorph in this dataset: 366 meV per atom
- DFT formation energy: -0.10 eV/atom

---

(8)
VASP calculation (PBE) on Si2SnPb2Au7 after structural relaxation.

extended XYZ file:
```
12
Lattice="4.388 0.095 -0.095 0.100 4.388 -0.095 1.834 1.832 13.422" Properties=species:S:1:pos:R:3 pbc="T T T"
Pb 1.534 1.532 8.437
Pb 4.788 4.782 4.795
Au 2.244 2.241 -0.095
Au 2.438 2.435 5.690
Au 4.550 2.399 2.018
Au 2.404 4.547 2.018
Au 3.918 1.767 11.215
Au 3.884 3.879 7.542
Au 1.772 3.916 11.215
Si 2.386 2.384 3.258
Si 3.936 3.931 9.974
Sn 0.000 0.000 0.000
```

- Total energy: -0.27822 Ry per atom
- Uncorrected formation energy: -0.22 eV/f.u.